[1]
First-principles (GGA-PBE) data for a geometry-optimized YP2Au structure, as listed in the Alexandria database.

Computed properties:
Its energy above the lowest structure with this stoichiometry is 377 meV/atom. The space-group type is Cmmm, No. 65. The calculation puts the energy relative to the elements at -0.35 eV/atom.

a = 4.0134 Å, b = 6.3951 Å, c = 6.5323 Å
α = 90.00°, β = 90.00°, γ = 90.00°
Positions (direct):
1 Y 0.0000 0.0000 0.0000
2 Y 0.5000 0.5000 0.0000
3 P 0.0000 0.5000 0.2785
4 P 0.0000 0.5000 0.7215
5 P 0.5000 0.0000 0.2785
6 P 0.5000 0.0000 0.7215
7 Au 0.0000 0.0000 0.5000
8 Au 0.5000 0.5000 0.5000

[2]
First-principles (GGA-PBE) data for a geometry-optimized LiAcAl structure, as listed in the Alexandria database.

Computed properties:
Its energy above the lowest structure with this stoichiometry is 37 meV/atom. The space-group type is P-6m2, No. 187. The calculation puts the energy relative to the elements at -0.12 eV/atom.

a = 5.0416 Å, b = 5.0416 Å, c = 3.7599 Å
α = 90.00°, β = 90.00°, γ = 120.00°
Positions (direct):
1 Li 0.0000 0.0000 0.0000
2 Ac 0.3333 0.6667 0.5000
3 Al 0.6667 0.3333 0.0000